Record 1
! LiNdRh2 PBE optimized geometry; values from VASP
&SYSTEM
  ibrav = 0, nat = 4, ntyp = 3
/
ATOMIC_SPECIES
Li 6.94 Li.upf
Nd 144.24 Nd.upf
Rh 102.91 Rh.upf
CELL_PARAMETERS angstrom
4.2510 0.0000 0.0000
0.0000 4.2510 0.0000
0.0000 0.0000 3.8990
ATOMIC_POSITIONS angstrom
Li 0.0000 0.0000 0.0000
Nd 2.1255 2.1255 0.0000
Rh 0.0000 2.1255 1.9495
Rh 2.1255 0.0000 1.9495
! E_form in eV/atom: -0.366
! N(E_F) in states/eV/cell: 3.038
! Space-group type: P4/mmm
! DFT total energy in eV per atom: -5.712



Record 2
! Sr2LiCd2 PBE optimized geometry; values from VASP
&SYSTEM
  ibrav = 0, nat = 10, ntyp = 3
/
ATOMIC_SPECIES
Sr 87.62 Sr.upf
Li 6.94 Li.upf
Cd 112.41 Cd.upf
CELL_PARAMETERS angstrom
6.0273 -2.4894 0.0000
6.0273 2.4894 0.0000
-5.8287 0.0000 10.7347
ATOMIC_POSITIONS angstrom
Sr -1.8684 0.0000 3.5505
Sr 1.6802 0.0000 1.1612
Sr 4.5457 0.0000 9.5735
Sr 8.0944 0.0000 7.1843
Li -0.3169 0.0000 6.8152
Li 6.5429 0.0000 3.9195
Cd 1.7483 0.0000 4.6512
Cd 5.2024 0.0000 1.2783
Cd 1.0236 0.0000 9.4564
Cd 4.4777 0.0000 6.0835
! E_form in eV/atom: -0.257
! N(E_F) in states/eV/cell: 8.382
! Space-group type: C2/m
! DFT total energy in eV per atom: -1.679



Record 3
! SbAuBr PBE optimized geometry; values from VASP
&SYSTEM
  ibrav = 0, nat = 3, ntyp = 3
/
ATOMIC_SPECIES
Sb 121.76 Sb.upf
Au 196.97 Au.upf
Br 79.90 Br.upf
CELL_PARAMETERS angstrom
0.0000 3.2867 7.0106
1.8820 0.0000 7.0106
1.8820 3.2867 0.0000
ATOMIC_POSITIONS angstrom
Sb 0.0000 0.0000 0.0000
Au 1.8820 3.2867 8.9157
Br 1.8820 3.2867 3.7790
! N(E_F) in states/eV/cell: 1.241
! ΔE_f (raw) in eV/atom: 0.001
! Space-group type: Fmm2
! DFT total energy in eV per atom: -3.023



Record 4
! TbNbNiRu PBE optimized geometry; values from VASP
&SYSTEM
  ibrav = 0, nat = 4, ntyp = 4
/
ATOMIC_SPECIES
Tb 158.93 Tb.upf
Nb 92.91 Nb.upf
Ni 58.69 Ni.upf
Ru 101.07 Ru.upf
CELL_PARAMETERS angstrom
0.0000 3.2641 3.2641
3.2641 0.0000 3.2641
3.2641 3.2641 0.0000
ATOMIC_POSITIONS angstrom
Tb 0.0000 0.0000 0.0000
Nb 3.2641 3.2641 3.2641
Ni 4.8961 4.8961 4.8961
Ru 1.6320 1.6320 1.6320
! E_form in eV/atom: -0.135
! N(E_F) in states/eV/cell: 3.440
! Space-group type: F-43m
! DFT total energy in eV per atom: -7.574